[1]
Entry from Alexandria via LeMat-Bulk: a crystal of SrYBePb2 relaxed with PBEsol (SCAN).

Unit cell a=5.703 b=5.703 c=5.244 alpha=90.00 beta=90.00 gamma=90.00
Fractional coordinates of all 5 atoms:
1 Sr 0.000 0.000 0.000
2 Y 0.500 0.500 0.500
3 Be 0.500 0.500 0.000
4 Pb 0.000 0.500 0.500
5 Pb 0.500 0.000 0.500

Calculated values
Total magnetic moment = 0.0 μB/f.u.
Crystal system = tetragonal
Formation energy = 1.11 eV per formula unit
SG = P4/mmm

[2]
Entry from Alexandria via LeMat-Bulk: a crystal of YCrRu relaxed with PBEsol (SCAN).

Unit cell a=4.390 b=4.390 c=4.390 alpha=60.00 beta=60.00 gamma=60.00
Fractional coordinates of all 3 atoms:
1 Y 0.000 0.000 0.000
2 Cr 0.500 0.500 0.500
3 Ru 0.250 0.250 0.250

Calculated values
Total magnetic moment = 3.0 μB/f.u.
Crystal system = cubic
Formation energy = 0.74 eV per formula unit
SG = F-43m

[3]
Entry from Alexandria via LeMat-Bulk: a crystal of Sr4SnPbO8 relaxed with PBEsol (SCAN).

Unit cell a=4.151 b=4.151 c=12.568 alpha=90.00 beta=90.00 gamma=90.00
Fractional coordinates of all 14 atoms:
1 Sr 0.000 0.000 0.141
2 Sr 0.000 0.000 0.859
3 Sr 0.500 0.500 0.351
4 Sr 0.500 0.500 0.649
5 Sn 0.500 0.500 0.000
6 Pb 0.000 0.000 0.500
7 O 0.000 0.000 0.328
8 O 0.000 0.000 0.672
9 O 0.000 0.500 0.000
10 O 0.000 0.500 0.500
11 O 0.500 0.000 0.000
12 O 0.500 0.000 0.500
13 O 0.500 0.500 0.163
14 O 0.500 0.500 0.837

Calculated values
Total magnetic moment = 0.0 μB/f.u.
Crystal system = tetragonal
Energy relative to the elements, uncorrected = -2.379 eV per atom
SG = P4/mmm

[4]
Entry from Alexandria via LeMat-Bulk: a crystal of BeCrSi2 relaxed with PBEsol (SCAN).

Unit cell a=3.014 b=3.014 c=4.858 alpha=90.00 beta=90.00 gamma=90.00
Fractional coordinates of all 4 atoms:
1 Be 0.000 0.000 0.000
2 Cr 0.000 0.000 0.500
3 Si 0.500 0.500 0.248
4 Si 0.500 0.500 0.752

Calculated values
Total magnetic moment = 0.0 μB/f.u.
Crystal system = tetragonal
Energy relative to the elements, uncorrected = 0.004 eV per atom
SG = P4/mmm

[5]
Entry from Alexandria via LeMat-Bulk: a crystal of CdPb2W relaxed with PBEsol (SCAN).

Unit cell a=5.041 b=5.041 c=5.041 alpha=60.00 beta=60.00 gamma=60.00
Fractional coordinates of all 4 atoms:
1 Cd 0.000 0.000 0.000
2 Pb 0.250 0.250 0.250
3 Pb 0.500 0.500 0.500
4 W 0.750 0.750 0.750

Calculated values
Total magnetic moment = 0.0 μB/f.u.
Crystal system = cubic
Formation energy = 5.02 eV per formula unit
SG = F-43m

[6]
Entry from Alexandria via LeMat-Bulk: a crystal of Ba2TaMoC relaxed with PBEsol (SCAN).

Unit cell a=6.261 b=6.261 c=4.562 alpha=90.00 beta=90.00 gamma=90.00
Fractional coordinates of all 5 atoms:
1 Ba 0.000 0.500 0.000
2 Ba 0.500 0.000 0.000
3 Ta 0.000 0.000 0.000
4 Mo 0.000 0.000 0.500
5 C 0.500 0.500 0.500

Calculated values
Total magnetic moment = 1.4 μB/f.u.
Crystal system = tetragonal
Formation energy = 10.36 eV per formula unit
SG = P4/mmm

[7]
Entry from Alexandria via LeMat-Bulk: a crystal of Sr4Zn3F14 relaxed with PBEsol (SCAN).

Unit cell a=6.746 b=6.746 c=7.098 alpha=90.00 beta=90.00 gamma=120.00
Fractional coordinates of all 21 atoms:
1 Sr 0.000 0.000 0.238
2 Sr 0.000 0.000 0.762
3 Sr 0.333 0.667 0.000
4 Sr 0.667 0.333 0.000
5 Zn 0.000 0.546 0.500
6 Zn 0.454 0.454 0.500
7 Zn 0.546 0.000 0.500
8 F 0.000 0.241 0.500
9 F 0.000 0.267 0.000
10 F 0.000 0.611 0.230
11 F 0.000 0.611 0.770
12 F 0.241 0.000 0.500
13 F 0.267 0.000 0.000
14 F 0.333 0.667 0.500
15 F 0.389 0.389 0.230
16 F 0.389 0.389 0.770
17 F 0.611 0.000 0.230
18 F 0.611 0.000 0.770
19 F 0.667 0.333 0.500
20 F 0.733 0.733 0.000
21 F 0.759 0.759 0.500

Calculated values
Total magnetic moment = 0.0 μB/f.u.
Crystal system = hexagonal
Energy relative to the elements, uncorrected = -3.467 eV per atom
SG = P-62m

[8]
Entry from Alexandria via LeMat-Bulk: a crystal of TaBe2 relaxed with PBEsol (SCAN).

Unit cell a=4.578 b=4.578 c=4.578 alpha=60.00 beta=60.00 gamma=60.00
Fractional coordinates of all 6 atoms:
1 Ta 0.125 0.125 0.125
2 Ta 0.875 0.875 0.875
3 Be 0.000 0.500 0.500
4 Be 0.500 0.000 0.500
5 Be 0.500 0.500 0.000
6 Be 0.500 0.500 0.500

Calculated values
Total magnetic moment = 0.0 μB/f.u.
Crystal system = cubic
Formation energy = -0.56 eV per formula unit
SG = Fd-3m

[9]
Entry from Alexandria via LeMat-Bulk: a crystal of LaCd2Hg2 relaxed with PBEsol (SCAN).

Unit cell a=7.098 b=7.098 c=7.098 alpha=143.97 beta=143.97 gamma=51.87
Fractional coordinates of all 5 atoms:
1 La 0.000 0.000 0.000
2 Cd 0.250 0.750 0.500
3 Cd 0.750 0.250 0.500
4 Hg 0.392 0.392 0.000
5 Hg 0.608 0.608 0.000

Calculated values
Total magnetic moment = 0.0 μB/f.u.
Crystal system = tetragonal
Formation energy = -2.20 eV per formula unit
SG = I4/mmm

[10]
Entry from Alexandria via LeMat-Bulk: a crystal of Er2NiRu relaxed with PBEsol (SCAN).

Unit cell a=4.670 b=4.670 c=4.670 alpha=60.00 beta=60.00 gamma=60.00
Fractional coordinates of all 4 atoms:
1 Er 0.250 0.250 0.250
2 Er 0.750 0.750 0.750
3 Ni 0.000 0.000 0.000
4 Ru 0.500 0.500 0.500

Calculated values
Total magnetic moment = 0.3 μB/f.u.
Crystal system = cubic
Formation energy = -2.09 eV per formula unit
SG = Fm-3m

[11]
Entry from Alexandria via LeMat-Bulk: a crystal of Li4Mg5 relaxed with PBEsol (SCAN).

Unit cell a=7.402 b=7.402 c=7.402 alpha=93.43 beta=93.43 gamma=151.68
Fractional coordinates of all 9 atoms:
1 Li 0.000 0.334 0.334
2 Li 0.000 0.666 0.666
3 Li 0.334 0.000 0.334
4 Li 0.666 0.000 0.666
5 Mg 0.000 0.000 0.000
6 Mg 0.334 0.334 0.668
7 Mg 0.334 0.666 0.000
8 Mg 0.666 0.334 0.000
9 Mg 0.666 0.666 0.332

Calculated values
Total magnetic moment = 0.0 μB/f.u.
Crystal system = tetragonal
Formation energy = -0.31 eV per formula unit
SG = I4/mmm

[12]
Entry from Alexandria via LeMat-Bulk: a crystal of CrB3Pb relaxed with PBEsol (SCAN).

Unit cell a=4.044 b=4.044 c=4.044 alpha=90.00 beta=90.00 gamma=90.00
Fractional coordinates of all 5 atoms:
1 Cr 0.000 0.000 0.000
2 B 0.000 0.000 0.500
3 B 0.000 0.500 0.000
4 B 0.500 0.000 0.000
5 Pb 0.500 0.500 0.500

Calculated values
Total magnetic moment = 0.5 μB/f.u.
Crystal system = cubic
Formation energy = 5.48 eV per formula unit
SG = Pm-3m

What is the total magnetic moment in the twelfth record? 0.5 μB/f.u.

What is the total magnetic moment in the twelfth record? 0.5 μB/f.u.

What did the eleventh record say?
Entry from Alexandria via LeMat-Bulk: a crystal of Li4Mg5 relaxed with PBEsol (SCAN).

Unit cell a=7.402 b=7.402 c=7.402 alpha=93.43 beta=93.43 gamma=151.68
Fractional coordinates of all 9 atoms:
1 Li 0.000 0.334 0.334
2 Li 0.000 0.666 0.666
3 Li 0.334 0.000 0.334
4 Li 0.666 0.000 0.666
5 Mg 0.000 0.000 0.000
6 Mg 0.334 0.334 0.668
7 Mg 0.334 0.666 0.000
8 Mg 0.666 0.334 0.000
9 Mg 0.666 0.666 0.332

Calculated values
Total magnetic moment = 0.0 μB/f.u.
Crystal system = tetragonal
Formation energy = -0.31 eV per formula unit
SG = I4/mmm